(1)
The following is a PBE-GGA calculation of ZrMnZnPt after structural relaxation, from Alexandria.

Geometry as extended XYZ:
```
4
Lattice="0.000 3.239 3.239 3.239 0.000 3.239 3.239 3.239 0.000" Properties=species:S:1:pos:R:3 pbc="T T T"
Zr 0.000 0.000 0.000
Mn 3.239 3.239 3.239
Zn 1.619 1.619 1.619
Pt 4.858 4.858 4.858
```

Values from the calculation:
Energy in eV per atom: -6.6688
Calculated formation energy in eV/atom: -0.411
Space group: No. 216
Fermi-level density of states in states/eV per cell: 2.6


(2)
The following is a PBE-GGA calculation of ZrMn4Pt after structural relaxation, from Alexandria.

Geometry as extended XYZ:
```
6
Lattice="0.000 3.412 3.412 3.412 0.000 3.412 3.412 3.412 0.000" Properties=species:S:1:pos:R:3 pbc="T T T"
Zr 0.000 0.000 0.000
Mn 2.578 2.578 2.578
Mn 4.247 4.247 2.578
Mn 4.247 2.578 4.247
Mn 2.578 4.247 4.247
Pt 5.118 5.118 5.118
```

Values from the calculation:
Energy in eV per atom: -8.7037
Calculated formation energy in eV/atom: -0.159
Space group: No. 216
Fermi-level density of states in states/eV per cell: 5.5


(3)
The following is a PBE-GGA calculation of ZrMn3Pt after structural relaxation, from Alexandria.

Geometry as extended XYZ:
```
5
Lattice="4.781 0.000 0.000 0.000 4.781 0.000 0.000 0.000 4.781" Properties=species:S:1:pos:R:3 pbc="T T T"
Zr 0.000 0.000 0.000
Mn 0.000 2.391 2.391
Mn 2.391 0.000 2.391
Mn 2.391 2.391 0.000
Pt 2.391 2.391 2.391
```

Values from the calculation:
Energy in eV per atom: -7.6806
Calculated formation energy in eV/atom: 0.739
Space group: No. 221
E above lowest polymorph in eV per atom: 0.000
Fermi-level density of states in states/eV per cell: 6.2


(4)
The following is a PBE-GGA calculation of ZrMn2Pt after structural relaxation, from Alexandria.

Geometry as extended XYZ:
```
4
Lattice="0.000 3.149 3.149 3.149 0.000 3.149 3.149 3.149 0.000" Properties=species:S:1:pos:R:3 pbc="T T T"
Zr 0.000 0.000 0.000
Mn 1.575 1.575 1.575
Mn 3.149 3.149 3.149
Pt 4.724 4.724 4.724
```

Values from the calculation:
Energy in eV per atom: -8.4344
Calculated formation energy in eV/atom: -0.202
Space group: No. 216
Fermi-level density of states in states/eV per cell: 5.9


(5)
The following is a PBE-GGA calculation of ZrMn2Pt after structural relaxation, from Alexandria.

Geometry as extended XYZ:
```
4
Lattice="-1.946 1.946 4.254 1.946 -1.946 4.254 1.946 1.946 -4.254" Properties=species:S:1:pos:R:3 pbc="T T T"
Zr 0.000 0.000 0.000
Mn 0.000 0.000 4.254
Mn 0.000 1.946 2.127
Pt 1.946 0.000 2.127
```

Values from the calculation:
Energy in eV per atom: -8.5423
Calculated formation energy in eV/atom: -0.310
Space group: No. 119
Fermi-level density of states in states/eV per cell: 4.0


(6)
The following is a PBE-GGA calculation of ZrMn2Pt after structural relaxation, from Alexandria.

Geometry as extended XYZ:
```
4
Lattice="2.769 -4.410 0.000 2.769 4.410 0.000 -1.157 0.000 2.649" Properties=species:S:1:pos:R:3 pbc="T T T"
Zr 0.000 0.000 0.000
Mn 0.806 2.205 1.325
Mn 0.806 -2.205 1.325
Pt 2.769 0.000 0.000
```

Values from the calculation:
Energy in eV per atom: -8.3377
Calculated formation energy in eV/atom: -0.106
Space group: No. 12
Fermi-level density of states in states/eV per cell: 4.2


(7)
The following is a PBE-GGA calculation of ZrMn2Pt5 after structural relaxation, from Alexandria.

Geometry as extended XYZ:
```
8
Lattice="-2.029 2.029 7.696 2.029 -2.029 7.696 2.029 2.029 -7.696" Properties=species:S:1:pos:R:3 pbc="T T T"
Zr 0.000 0.000 0.000
Mn 0.000 0.000 3.863
Mn 0.000 0.000 11.529
Pt 2.029 0.000 2.033
Pt 2.029 0.000 5.664
Pt 0.000 0.000 7.696
Pt 0.000 2.029 2.033
Pt 0.000 2.029 5.664
```

Values from the calculation:
Energy in eV per atom: -7.8104
Calculated formation energy in eV/atom: -0.674
Space group: No. 139
Fermi-level density of states in states/eV per cell: 2.4


(8)
The following is a PBE-GGA calculation of ZrMn2Pt8 after structural relaxation, from Alexandria.

Geometry as extended XYZ:
```
11
Lattice="-1.990 3.679 6.116 1.990 -3.679 6.116 1.990 3.679 -6.116" Properties=species:S:1:pos:R:3 pbc="T T T"
Zr 0.000 0.000 0.000
Mn 0.000 0.000 3.942
Mn 0.000 0.000 8.290
Pt 1.990 -1.700 4.101
Pt 1.990 0.000 1.922
Pt 1.990 2.148 0.000
Pt 0.000 1.979 2.015
Pt 1.990 1.700 4.101
Pt 0.000 1.531 6.116
Pt 0.000 3.679 4.194
Pt 0.000 5.380 2.015
```

Values from the calculation:
Energy in eV per atom: -7.3197
Calculated formation energy in eV/atom: -0.482
Space group: No. 71
Fermi-level density of states in states/eV per cell: 9.1


(9)
The following is a PBE-GGA calculation of ZrMn2Pt after structural relaxation, from Alexandria.

Geometry as extended XYZ:
```
4
Lattice="3.233 0.000 0.000 0.000 3.233 0.000 0.000 0.000 6.230" Properties=species:S:1:pos:R:3 pbc="T T T"
Zr 0.000 0.000 0.000
Mn 0.000 0.000 3.021
Mn 1.617 1.617 1.777
Pt 1.617 1.617 4.533
```

Values from the calculation:
Energy in eV per atom: -8.5494
Calculated formation energy in eV/atom: -0.317
Space group: No. 99
Fermi-level density of states in states/eV per cell: 3.2


(10)
The following is a PBE-GGA calculation of ZrMn2Pt after structural relaxation, from Alexandria.

Geometry as extended XYZ:
```
4
Lattice="1.442 0.832 9.132 -1.442 0.832 9.132 0.000 -1.665 9.132" Properties=species:S:1:pos:R:3 pbc="T T T"
Zr 0.000 0.000 0.000
Mn 0.000 0.000 13.657
Mn 0.000 0.000 20.671
Pt 0.000 0.000 6.713
```

Values from the calculation:
Energy in eV per atom: -8.1601
Calculated formation energy in eV/atom: 0.072
Space group: No. 160
Fermi-level density of states in states/eV per cell: 3.9


(11)
The following is a PBE-GGA calculation of ZrMn3Pt after structural relaxation, from Alexandria.

Geometry as extended XYZ:
```
5
Lattice="4.422 0.000 0.000 0.000 4.422 0.000 0.000 0.000 4.422" Properties=species:S:1:pos:R:3 pbc="T T T"
Zr 0.000 0.000 0.000
Mn 0.000 0.000 2.211
Mn 0.000 2.211 0.000
Mn 2.211 0.000 0.000
Pt 2.211 2.211 2.211
```

Values from the calculation:
Energy in eV per atom: -6.4974
Calculated formation energy in eV/atom: 1.922
Space group: No. 221
E above lowest polymorph in eV per atom: 1.183
Fermi-level density of states in states/eV per cell: 9.7


(12)
The following is a PBE-GGA calculation of ZrMn2Pt2 after structural relaxation, from Alexandria.

Geometry as extended XYZ:
```
5
Lattice="-1.720 1.720 6.678 1.720 -1.720 6.678 1.720 1.720 -6.678" Properties=species:S:1:pos:R:3 pbc="T T T"
Zr 0.000 0.000 0.000
Mn 1.720 0.000 3.339
Mn 0.000 1.720 3.339
Pt 0.000 0.000 5.307
Pt 0.000 0.000 8.049
```

Values from the calculation:
Energy in eV per atom: -8.0276
Calculated formation energy in eV/atom: -0.234
Space group: No. 139
E above lowest polymorph in eV per atom: 0.008
Fermi-level density of states in states/eV per cell: 7.3